## Pr7YTm12 (PBE-GGA)

Data for an optimized crystal structure of Pr7YTm12.

As for the energy relative to the elements: 0.2274 eV per atom. As for the size of the total moment: 0.00 μB per formula unit.

a = 11.9466 Å, b = 11.9466 Å, c = 16.2548 Å
α = 90.00°, β = 90.00°, γ = 120.00°
Space group R-3 (No. 148, hexagonal axes)
Asymmetric unit:
1 Pr 0.0000 0.0000 0.0000 [3 per cell]
2 Pr 0.0536 0.8670 0.2885 [18 per cell]
3 Y 0.0000 0.0000 0.5000 [3 per cell]
4 Tm 0.0241 0.5764 0.2210 [18 per cell]
5 Tm 0.0518 0.4656 0.5833 [18 per cell]

***

## Pr3Y5Tm (PBE-GGA)

Data for an optimized crystal structure of Pr3Y5Tm.

As for the energy relative to the elements: 0.0443 eV per atom. As for the size of the total moment: 0.00 μB per formula unit.

a = 9.8636 Å, b = 9.8636 Å, c = 7.1250 Å
α = 90.00°, β = 90.00°, γ = 120.00°
Space group P6_3/mcm (No. 193)
Asymmetric unit:
1 Pr 0.0000 0.3622 0.2500 [6 per cell]
2 Y 0.0000 0.3022 0.7500 [6 per cell]
3 Y 0.3333 0.6667 0.0000 [4 per cell]
4 Tm 0.0000 0.0000 0.0000 [2 per cell]